[1]
Here is crystalline KReAg2Te at its relaxed geometry from Alexandria. Energies are from PBE.

POSCAR file:
```
KReAg2Te
1.0
5.2482 0.0000 0.0000
0.0000 5.9873 0.0000
0.0000 0.0000 5.2482
Te Re Ag K
1 1 2 1
Cartesian
0.0000 2.9936 0.0000
2.6241 2.9936 2.6241
2.6241 0.0000 0.0000
0.0000 0.0000 2.6241
0.0000 0.0000 0.0000
```

Space group: P4/mmm, No. 123
Magnetic moment in μB per formula unit: 4.37
Formation energy from raw total energies in eV/atom: 2.02
Calculated volume in Å³/cell: 164.9
DOS at the Fermi energy in states/eV/atom: 0.5616

[2]
Here is crystalline K2AgRh at its relaxed geometry from Alexandria. Energies are from PBE.

POSCAR file:
```
K2AgRh
1.0
-3.5828 0.6534 0.4742
-0.6341 -3.6246 0.2040
0.7071 -3.2258 9.7867
K Rh Ag
2 1 1
Cartesian
-1.6480 -1.3404 3.6173
0.5793 -3.2744 8.8885
0.1546 -3.3862 5.8341
-1.8521 -4.8470 6.9071
```

Space group: Pm, No. 6
Magnetic moment in μB per formula unit: 0.00
Energy above the most stable polymorph in this dataset in meV per atom: 0.0
Calculated volume in Å³/cell: 131.1
DOS at the Fermi energy in states/eV/atom: 0.8001
Calculated formation energy in eV per atom: 0.374

[3]
Here is crystalline KAgRh2 at its relaxed geometry from Alexandria. Energies are from PBE.

POSCAR file:
```
KAgRh2
1.0
-1.6429 -0.5216 2.2867
-0.0143 -3.6466 -0.8421
6.4340 -1.0380 4.3859
K Rh Ag
1 2 1
Cartesian
4.1060 -2.8802 4.0861
0.5320 -0.0858 0.3626
0.5466 -2.3059 1.6597
2.8093 -0.4532 1.9150
```

Space group: Pmm2, No. 25
Magnetic moment in μB per formula unit: 0.01
Energy above the most stable polymorph in this dataset in meV per atom: 0.0
Calculated volume in Å³/cell: 84.2
DOS at the Fermi energy in states/eV/atom: 1.0911
Calculated formation energy in eV per atom: 0.334

[4]
Here is crystalline KAgRh2 at its relaxed geometry from Alexandria. Energies are from PBE.

POSCAR file:
```
KAgRh2
1.0
-3.7422 0.6452 3.9688
-1.8333 -4.5254 2.5163
4.8730 2.1680 -1.3134
Ag Rh K
1 2 1
Cartesian
0.1260 -2.1487 2.2227
-2.7877 -1.9401 3.2425
0.0000 0.0000 0.0000
-0.8284 0.4366 2.9490
```

Space group: I4/mmm, No. 139
Magnetic moment in μB per formula unit: 1.82
Energy above the most stable polymorph in this dataset in meV per atom: 487.5
Calculated volume in Å³/cell: 76.3
DOS at the Fermi energy in states/eV/atom: 1.0808
Calculated formation energy in eV per atom: 0.821